## a
NbTeS2N: relaxed, GGA-PBE.

Summary:
Crystal system ... tetragonal
N(E_F) ... 4.15 states/eV/f.u.

a b c (Å): 5.092 5.092 3.874
angles (deg): 90.00 90.00 90.00
Space group P4/mmm (No. 123)
Unique sites:
Nb: 0.000 0.000 0.000 [1 per cell]
Te: 0.500 0.500 0.500 [1 per cell]
S: 0.000 0.500 0.500 [2 per cell]
N: 0.500 0.500 0.000 [1 per cell]

***

## b
NbTeS2N: relaxed, GGA-PBE.

Summary:
Crystal system ... tetragonal
N(E_F) ... 3.89 states/eV/f.u.

a b c (Å): 5.002 5.002 3.908
angles (deg): 90.00 90.00 90.00
Space group P4/mmm (No. 123)
Unique sites:
Nb: 0.000 0.000 0.000 [1 per cell]
Te: 0.500 0.500 0.500 [1 per cell]
S: 0.000 0.500 0.000 [2 per cell]
N: 0.000 0.000 0.500 [1 per cell]

***

Energies relative to the most stable structure, in kJ/mol of atoms: a 96.8; b 0.0.

***

## a
TiNbSN2: relaxed, GGA-PBE.

Summary:
Crystal system ... tetragonal
N(E_F) ... 4.44 states/eV/f.u.

a b c (Å): 3.858 3.858 4.719
angles (deg): 90.00 90.00 90.00
Space group P4/mmm (No. 123)
Unique sites:
Ti: 0.000 0.000 0.000 [1 per cell]
Nb: 0.500 0.500 0.500 [1 per cell]
S: 0.000 0.000 0.500 [1 per cell]
N: 0.000 0.500 0.000 [2 per cell]

***

## b
TiNbSN2: relaxed, GGA-PBE.

Summary:
Crystal system ... tetragonal
N(E_F) ... 3.95 states/eV/f.u.

a b c (Å): 3.995 3.995 4.965
angles (deg): 90.00 90.00 90.00
Space group P4/mmm (No. 123)
Unique sites:
Ti: 0.000 0.000 0.000 [1 per cell]
Nb: 0.500 0.500 0.500 [1 per cell]
S: 0.500 0.500 0.000 [1 per cell]
N: 0.000 0.500 0.500 [2 per cell]

***

Energies relative to the most stable structure, in kJ/mol of atoms: a 10.8; b 0.0.